The following is a PBE calculation of a geometry-optimized AcHoSn2 structure, from Alexandria. Values from VASP.

```
&SYSTEM
  ibrav = 0, nat = 4, ntyp = 3
/
ATOMIC_SPECIES
Ac 227.00 Ac.upf
Ho 164.93 Ho.upf
Sn 118.71 Sn.upf
CELL_PARAMETERS angstrom
4.099 0.000 0.000
0.000 4.099 0.000
0.000 0.000 7.178
ATOMIC_POSITIONS angstrom
Ac 0.000 0.000 0.000
Ho 0.000 0.000 3.589
Sn 2.050 2.050 2.071
Sn 2.050 2.050 5.107
```

Properties
E_form (meV per atom): -615
Final energy (eV/atom): -4.788
Crystal system: tetragonal
Space group: P4/mmm (123)

***

The following is a PBE calculation of a geometry-optimized Al2PtCl structure, from Alexandria. Values from VASP.

```
&SYSTEM
  ibrav = 0, nat = 4, ntyp = 3
/
ATOMIC_SPECIES
Al 26.98 Al.upf
Pt 195.08 Pt.upf
Cl 35.45 Cl.upf
CELL_PARAMETERS angstrom
3.675 -3.410 0.000
3.675 3.410 0.000
-0.856 0.000 2.732
ATOMIC_POSITIONS angstrom
Al 1.838 1.705 0.000
Al 1.838 -1.705 0.000
Pt -0.428 0.000 1.366
Cl 3.247 0.000 1.366
```

Properties
Final energy (eV/atom): -4.300
Crystal system: monoclinic
E above lowest polymorph (meV/atom): 330.7
Space group: C2/m (12)
ΔE_f (raw) (meV/atom): -457

***

The following is a PBE calculation of a geometry-optimized AgAu2 structure, from Alexandria. Values from VASP.

```
&SYSTEM
  ibrav = 0, nat = 6, ntyp = 2
/
ATOMIC_SPECIES
Ag 107.87 Ag.upf
Au 196.97 Au.upf
CELL_PARAMETERS angstrom
5.565 -1.411 0.000
5.565 1.411 0.000
-1.968 0.000 6.896
ATOMIC_POSITIONS angstrom
Ag 0.000 0.000 0.000
Ag 6.766 0.000 2.299
Au -0.567 0.000 4.274
Au 2.382 0.000 4.600
Au 3.830 0.000 1.963
Au 6.188 0.000 6.596
```

Properties
E_form (meV per atom): -11
Final energy (eV/atom): -3.146
Crystal system: monoclinic
E above lowest polymorph (meV/atom): 30.3
Space group: Cm (8)

***

The following is a PBE calculation of a geometry-optimized TcPbSe2 structure, from Alexandria. Values from VASP.

```
&SYSTEM
  ibrav = 0, nat = 4, ntyp = 3
/
ATOMIC_SPECIES
Tc 98.00 Tc.upf
Pb 207.20 Pb.upf
Se 78.96 Se.upf
CELL_PARAMETERS angstrom
1.583 0.914 10.278
-1.583 0.914 10.278
0.000 -1.828 10.278
ATOMIC_POSITIONS angstrom
Tc 0.000 0.000 0.000
Pb 0.000 0.000 15.417
Se 0.000 0.000 2.362
Se 0.000 0.000 28.473
```

Properties
Final energy (eV/atom): -4.767
Crystal system: trigonal
E above lowest polymorph (meV/atom): 654.1
Space group: R-3m (166)
ΔE_f (raw) (meV/atom): 494